ZnRh5 | GGA-PBEsol | optimized geometry

crystal system	orthorhombic
spin magnetization	0.01	Bohr magnetons per cell
energy of formation	-3.6	kJ/mol of atoms

a = 4.3115 Å, b = 7.0610 Å, c = 7.0610 Å
α = 22.00°, β = 90.00°, γ = 90.00°
With the nearest neighbours (Å) after each atom.
Sites, in units of the cell vectors:
Zn (0.0000, 0.0000, 0.0000)  10 Rh 2.65-2.67, 2 Zn 2.69
Rh (0.0000, 0.3341, 0.3341)  10 Rh 2.65-2.69, 2 Zn 2.67
Rh (0.0000, 0.6660, 0.6660)  10 Rh 2.65-2.69, 2 Zn 2.67
Rh (0.5000, 0.2202, 0.2202)  12 Rh 2.65-2.70
Rh (0.5000, 0.5540, 0.5540)  4 Zn 2.65, 8 Rh 2.66-2.69
Rh (0.5000, 0.8887, 0.8887)  2 Zn 2.65, 10 Rh 2.65-2.70

=====

CoTeSe | GGA-PBEsol | optimized geometry

crystal system	trigonal
spin magnetization	0.00	Bohr magnetons per cell
raw formation energy	-82	kJ/mol of formula units

a = 3.5864 Å, b = 3.5864 Å, c = 5.1636 Å
α = 90.00°, β = 90.00°, γ = 120.00°
With the nearest neighbours (Å) after each atom.
Sites, in units of the cell vectors:
Co (0.0000, 0.0000, 0.0000)  3 Se 2.36, 3 Te 2.51
Te (0.3333, 0.6667, 0.2742)  3 Co 2.51
Se (0.6667, 0.3333, 0.7813)  3 Co 2.36

=====

Li2CrOs | GGA-PBEsol | optimized geometry

crystal system	orthorhombic
spin magnetization	0.04	Bohr magnetons per cell
energy above the most stable polymorph in this dataset	0	meV/atom
energy of formation	43.8	kJ/mol of atoms

a = 2.5059 Å, b = 2.5059 Å, c = 9.2734 Å
α = 90.00°, β = 90.00°, γ = 114.74°
With the nearest neighbours (Å) after each atom.
Sites, in units of the cell vectors:
Li (0.0000, 0.0000, 0.2447)  6 Li 2.51-2.70, 2 Os 2.64, 2 Cr 2.73
Li (0.0000, 0.0000, 0.7553)  6 Li 2.51-2.70, 2 Os 2.64, 2 Cr 2.73
Cr (0.5000, 0.5000, 0.5000)  6 Cr 2.51-2.70, 4 Li 2.73
Os (0.5000, 0.5000, 0.0000)  6 Os 2.51-2.70, 4 Li 2.64

=====

ScCo2TeF | GGA-PBEsol | optimized geometry

crystal system	tetragonal
spin magnetization	2.37	Bohr magnetons per cell
raw formation energy	-167	kJ/mol of formula units

a = 4.1896 Å, b = 4.1896 Å, c = 4.1403 Å
α = 90.00°, β = 90.00°, γ = 90.00°
With the nearest neighbours (Å) after each atom.
Sites, in units of the cell vectors:
Sc (0.0000, 0.0000, 0.0000)  2 F 2.07
Co (0.0000, 0.5000, 0.5000)  2 F 2.09
Co (0.5000, 0.0000, 0.5000)  2 F 2.09
Te (0.5000, 0.5000, 0.0000)  8 Co 2.95, 4 Sc 2.96
F (0.0000, 0.0000, 0.5000)  2 Sc 2.07, 4 Co 2.09

=====

Al3CoW9C3 | GGA-PBEsol | optimized geometry

crystal system	hexagonal
spin magnetization	0.00	Bohr magnetons per cell
energy of formation	-13.0	kJ/mol of atoms

a = 7.8729 Å, b = 7.8729 Å, c = 7.7871 Å
α = 90.00°, β = 90.00°, γ = 120.00°
With the nearest neighbours (Å) after each atom.
Sites, in units of the cell vectors:
Al (0.1101, 0.2201, 0.2500)  2 Co 2.46, 2 Al 2.60, 2 W 2.64
Al (0.1101, 0.8899, 0.2500)  2 Co 2.46, 2 Al 2.60, 2 W 2.64
Al (0.2201, 0.1101, 0.7500)  2 Co 2.46, 2 Al 2.60, 2 W 2.64
Al (0.7799, 0.8899, 0.2500)  2 Co 2.46, 2 Al 2.60, 2 W 2.64
Al (0.8899, 0.1101, 0.7500)  2 Co 2.46, 2 Al 2.60, 2 W 2.64
Al (0.8899, 0.7799, 0.7500)  2 Co 2.46, 2 Al 2.60, 2 W 2.64
Co (0.0000, 0.0000, 0.0000)  6 Al 2.46
Co (0.0000, 0.0000, 0.5000)  6 Al 2.46
W (0.1026, 0.5513, 0.2500)  2 C 2.07
W (0.2041, 0.4081, 0.5702)  2 C 2.14
W (0.2041, 0.4081, 0.9298)  2 C 2.14
W (0.2041, 0.7959, 0.5702)  2 C 2.14
W (0.2041, 0.7959, 0.9298)  2 C 2.14
W (0.4081, 0.2041, 0.0702)  2 C 2.14
W (0.4081, 0.2041, 0.4298)  2 C 2.14
W (0.4487, 0.5513, 0.2500)  2 C 2.07
W (0.4487, 0.8974, 0.2500)  2 C 2.07
W (0.5513, 0.1026, 0.7500)  2 C 2.07
W (0.5513, 0.4487, 0.7500)  2 C 2.07
W (0.5919, 0.7959, 0.5702)  2 C 2.14
W (0.5919, 0.7959, 0.9298)  2 C 2.14
W (0.7959, 0.2041, 0.0702)  2 C 2.14
W (0.7959, 0.2041, 0.4298)  2 C 2.14
W (0.7959, 0.5919, 0.0702)  2 C 2.14
W (0.7959, 0.5919, 0.4298)  2 C 2.14
W (0.8974, 0.4487, 0.7500)  2 C 2.07
C (0.0000, 0.5000, 0.0000)  6 W 2.07-2.14
C (0.0000, 0.5000, 0.5000)  6 W 2.07-2.14
C (0.5000, 0.0000, 0.0000)  6 W 2.07-2.14
C (0.5000, 0.0000, 0.5000)  6 W 2.07-2.14
C (0.5000, 0.5000, 0.0000)  6 W 2.07-2.14
C (0.5000, 0.5000, 0.5000)  6 W 2.07-2.14

=====

Zr3CdAg | GGA-PBEsol | optimized geometry

crystal system	cubic
spin magnetization	0.00	Bohr magnetons per cell
energy of formation	82.3	kJ/mol of atoms

a = 5.0614 Å, b = 5.0614 Å, c = 5.0614 Å
α = 90.00°, β = 90.00°, γ = 90.00°
With the nearest neighbours (Å) after each atom.
Sites, in units of the cell vectors:
Zr (0.0000, 0.0000, 0.5000)  2 Ag 2.53
Zr (0.0000, 0.5000, 0.0000)  2 Ag 2.53
Zr (0.5000, 0.0000, 0.0000)  2 Ag 2.53
Cd (0.5000, 0.5000, 0.5000)  12 Zr 3.58
Ag (0.0000, 0.0000, 0.0000)  6 Zr 2.53

=====

Q: What is the spin magnetization in the third record?
A: 0.04 Bohr magnetons per cell